(1)
BaHo2NbN4 | PBE | optimized geometry

E_form (uncorrected) = -1.2207 eV per atom
magnetization = 0.00 μB/cell
V = 16.6 Å³ per atom

The structure in POSCAR format:
```
BaHo2NbN4
1.0
1.7549 -6.2539 0.0000
1.7549 6.2539 0.0000
0.0000 0.0000 12.1287
Ba Ho Nb N
2 4 2 8
direct
0.0902 0.9098 0.7500
0.9098 0.0902 0.2500
0.3716 0.6284 0.5352
0.3716 0.6284 0.9648
0.6284 0.3716 0.0352
0.6284 0.3716 0.4648
0.1732 0.8268 0.2500
0.8268 0.1732 0.7500
0.0000 0.0000 0.0000
0.0000 0.0000 0.5000
0.2551 0.7449 0.1134
0.2551 0.7449 0.3866
0.4117 0.5883 0.7500
0.5883 0.4117 0.2500
0.7449 0.2551 0.6134
0.7449 0.2551 0.8866
```

(2)
Ba2HoNpN4 | PBE | optimized geometry

E_form (uncorrected) = -1.0023 eV per atom
magnetization = 1.43 μB/cell
V = 17.6 Å³ per atom

The structure in POSCAR format:
```
Ba2HoNpN4
1.0
6.0819 0.0000 0.0000
0.0000 3.6102 0.0000
-2.0482 0.0000 6.4130
Ba Ho Np N
2 1 1 4
direct
0.0000 0.0000 0.0000
0.5000 0.5000 0.0000
0.0000 0.5000 0.5000
0.5000 0.0000 0.5000
0.2613 0.0000 0.6740
0.2915 0.5000 0.3230
0.7085 0.5000 0.6770
0.7387 0.0000 0.3260
```

(3)
Ba2HoOs2N6 | PBE | optimized geometry

E_form (uncorrected) = -0.4497 eV per atom
magnetization = 0.69 μB/cell
V = 18.4 Å³ per atom

The structure in POSCAR format:
```
Ba2HoOs2N6
1.0
3.0689 1.7719 6.1959
-3.0689 1.7719 6.1959
0.0000 -3.5437 6.1959
Ba Ho Os N
2 1 2 6
direct
0.2141 0.2141 0.2141
0.7859 0.7859 0.7859
0.0000 0.0000 0.0000
0.4032 0.4032 0.4032
0.5968 0.5968 0.5968
0.2503 0.2503 0.7493
0.2503 0.7493 0.2503
0.2507 0.7497 0.7497
0.7493 0.2503 0.2503
0.7497 0.2507 0.7497
0.7497 0.7497 0.2507
```

(4)
Ba2HoOsN4 | PBE | optimized geometry

E_form (uncorrected) = -0.2070 eV per atom
magnetization = 0.00 μB/cell
V = 23.9 Å³ per atom

The structure in POSCAR format:
```
Ba2HoOsN4
1.0
0.0000 6.1397 10.5751
2.9442 0.0000 10.5751
2.9442 6.1397 0.0000
Ba Ho Os N
4 2 2 8
direct
0.0615 0.0615 0.6885
0.3115 0.3115 0.9385
0.6885 0.6885 0.0615
0.9385 0.9385 0.3115
0.1250 0.1250 0.1250
0.8750 0.8750 0.8750
0.3750 0.3750 0.3750
0.6250 0.6250 0.6250
0.0303 0.6484 0.5212
0.3001 0.5212 0.6484
0.3516 0.9697 0.6999
0.4788 0.6999 0.9697
0.5212 0.3001 0.0303
0.6484 0.0303 0.3001
0.6999 0.4788 0.3516
0.9697 0.3516 0.4788
```

(5)
Ba3HoP2N6 | PBE | optimized geometry

E_form (uncorrected) = -0.9465 eV per atom
magnetization = 0.26 μB/cell
V = 18.8 Å³ per atom

The structure in POSCAR format:
```
Ba3HoP2N6
1.0
5.9757 0.0000 0.0000
-2.9878 5.1751 0.0000
0.0000 0.0000 7.2867
Ba Ho P N
3 1 2 6
direct
0.0000 0.0000 0.0000
0.3333 0.6667 0.6951
0.6667 0.3333 0.3049
0.0000 0.0000 0.5000
0.3333 0.6667 0.2676
0.6667 0.3333 0.7324
0.1800 0.3601 0.2995
0.1800 0.8200 0.2995
0.3601 0.1800 0.7005
0.6399 0.8200 0.2995
0.8200 0.1800 0.7005
0.8200 0.6399 0.7005
```

(6)
BaHo2P2N6 | PBE | optimized geometry

E_form (uncorrected) = -0.9599 eV per atom
magnetization = 0.00 μB/cell
V = 16.7 Å³ per atom

The structure in POSCAR format:
```
BaHo2P2N6
1.0
6.0121 0.0000 0.0000
-2.3843 5.5233 0.0000
-0.8404 -3.0451 5.5453
Ba Ho P N
1 2 2 6
direct
0.0000 0.0000 0.0000
0.2976 0.3676 0.6701
0.7024 0.6324 0.3299
0.2561 0.7027 0.2813
0.7439 0.2973 0.7187
0.1421 0.9016 0.3823
0.2861 0.5244 0.4017
0.3560 0.6654 0.0581
0.6440 0.3346 0.9419
0.7139 0.4756 0.5983
0.8579 0.0984 0.6177
```

Q: Which formula does entry 4 have?
A: Ba2HoOsN4